Density functional theory data (PBE with a Hubbard U) for a geometry-optimized Li2MnO2F structure.

Cell lengths 2.8476, 4.5855, 5.1222 Å; angles 116.59, 106.14, 90.00 degrees
Last column: magnetic moment on the atom in μB.
Atoms (fractional coordinates):
Li 0.6768 0.6768 0.3537  0.00
Li 0.3232 0.3232 0.6463  0.00
Mn 0.0000 0.0000 0.0000  3.88
O 0.3476 0.8476 0.6952  -0.02
O 0.6524 0.1524 0.3048  -0.02
F 0.0000 0.5000 0.0000  0.05

Calculated values
DFT total energy	-6.000	eV per atom